# 1
Computed, not measured: a relaxed structure of ZnTc2Pb at the PBE level of DFT.

Cell lengths 4.569, 4.569, 4.569 Å; angles 60.00, 60.00, 60.00 degrees
Sites, in units of the cell vectors:
1 Zn 0.000 0.000 0.000
2 Tc 0.250 0.250 0.250
3 Tc 0.500 0.500 0.500
4 Pb 0.750 0.750 0.750

Values from the calculation:
Raw total energy in eV/atom: -5.8120

# 2
Computed, not measured: a relaxed structure of Zn2TcPb at the PBE level of DFT.

Cell lengths 4.632, 4.632, 4.632 Å; angles 60.00, 60.00, 60.00 degrees
Sites, in units of the cell vectors:
1 Zn 0.000 0.000 0.000
2 Zn 0.250 0.250 0.250
3 Tc 0.750 0.750 0.750
4 Pb 0.500 0.500 0.500

Values from the calculation:
Raw total energy in eV/atom: -3.5660

# 3
Computed, not measured: a relaxed structure of ZrTc2Pb at the PBE level of DFT.

Cell lengths 4.705, 4.705, 4.705 Å; angles 60.00, 60.00, 60.00 degrees
Sites, in units of the cell vectors:
1 Zr 0.000 0.000 0.000
2 Tc 0.250 0.250 0.250
3 Tc 0.500 0.500 0.500
4 Pb 0.750 0.750 0.750

Values from the calculation:
Raw total energy in eV/atom: -7.8350

# 4
Computed, not measured: a relaxed structure of ThTePb at the PBE level of DFT.

Cell lengths 5.246, 5.246, 5.246 Å; angles 60.00, 60.00, 60.00 degrees
Sites, in units of the cell vectors:
1 Th 0.000 0.000 0.000
2 Te 0.750 0.750 0.750
3 Pb 0.500 0.500 0.500

Values from the calculation:
Raw total energy in eV/atom: -4.9537

# 5
Computed, not measured: a relaxed structure of TmTlTe3Pb at the PBE level of DFT.

Cell lengths 15.376, 4.380, 12.831 Å; angles 90.00, 90.00, 90.00 degrees
Sites, in units of the cell vectors:
1 Tm 0.008 0.250 0.150
2 Tm 0.492 0.750 0.650
3 Tm 0.508 0.250 0.350
4 Tm 0.992 0.750 0.850
5 Tl 0.229 0.750 0.584
6 Tl 0.271 0.250 0.084
7 Tl 0.729 0.750 0.916
8 Tl 0.771 0.250 0.416
9 Te 0.100 0.250 0.744
10 Te 0.111 0.750 0.038
11 Te 0.157 0.250 0.314
12 Te 0.343 0.750 0.814
13 Te 0.389 0.250 0.538
14 Te 0.400 0.750 0.244
15 Te 0.600 0.250 0.756
16 Te 0.611 0.750 0.462
17 Te 0.657 0.250 0.186
18 Te 0.843 0.750 0.686
19 Te 0.889 0.250 0.962
20 Te 0.900 0.750 0.256
21 Pb 0.048 0.750 0.408
22 Pb 0.452 0.250 0.908
23 Pb 0.548 0.750 0.092
24 Pb 0.952 0.250 0.592

Values from the calculation:
E above lowest polymorph in meV per atom: 0
Raw total energy in eV/atom: -4.0756

# 6
Computed, not measured: a relaxed structure of TmTlTe3Pb at the PBE level of DFT.

Cell lengths 8.139, 8.139, 12.526 Å; angles 90.00, 90.00, 149.01 degrees
Sites, in units of the cell vectors:
1 Tm 0.000 0.000 0.000
2 Tm 0.000 0.000 0.500
3 Tl 0.303 0.697 0.750
4 Tl 0.697 0.303 0.250
5 Te 0.021 0.979 0.250
6 Te 0.365 0.635 0.000
7 Te 0.365 0.635 0.500
8 Te 0.635 0.365 0.000
9 Te 0.635 0.365 0.500
10 Te 0.979 0.021 0.750
11 Pb 0.383 0.617 0.250
12 Pb 0.617 0.383 0.750

Values from the calculation:
E above lowest polymorph in meV per atom: 92
Raw total energy in eV/atom: -3.9837

# 7
Computed, not measured: a relaxed structure of Tm5Te5Pb at the PBE level of DFT.

Cell lengths 7.475, 7.475, 8.613 Å; angles 106.71, 106.71, 48.29 degrees
Sites, in units of the cell vectors:
1 Tm 0.000 0.000 0.000
2 Tm 0.337 0.337 0.169
3 Tm 0.337 0.337 0.668
4 Tm 0.663 0.663 0.332
5 Tm 0.663 0.663 0.831
6 Te 0.166 0.166 0.337
7 Te 0.166 0.166 0.830
8 Te 0.500 0.500 0.500
9 Te 0.834 0.834 0.170
10 Te 0.834 0.834 0.663
11 Pb 0.500 0.500 0.000

Values from the calculation:
Raw total energy in eV/atom: -4.9808

# 8
Computed, not measured: a relaxed structure of YZnTe3Pb at the PBE level of DFT.

Cell lengths 7.684, 7.684, 11.250 Å; angles 90.00, 90.00, 146.90 degrees
Sites, in units of the cell vectors:
1 Y 0.000 0.000 0.000
2 Y 0.000 0.000 0.500
3 Zn 0.474 0.526 0.750
4 Zn 0.526 0.474 0.250
5 Te 0.091 0.909 0.750
6 Te 0.357 0.643 0.555
7 Te 0.357 0.643 0.945
8 Te 0.643 0.357 0.055
9 Te 0.643 0.357 0.445
10 Te 0.909 0.091 0.250
11 Pb 0.214 0.786 0.250
12 Pb 0.786 0.214 0.750

Values from the calculation:
Raw total energy in eV/atom: -4.1603

# 9
Computed, not measured: a relaxed structure of ZnTe2Pb at the PBE level of DFT.

Cell lengths 5.414, 5.414, 5.414 Å; angles 60.00, 60.00, 60.00 degrees
Sites, in units of the cell vectors:
1 Zn 0.000 0.000 0.000
2 Te 0.500 0.500 0.500
3 Te 0.750 0.750 0.750
4 Pb 0.250 0.250 0.250

Values from the calculation:
Raw total energy in eV/atom: -2.6381

# 10
Computed, not measured: a relaxed structure of Zn2Te3Pb at the PBE level of DFT.

Cell lengths 7.432, 7.432, 11.219 Å; angles 90.00, 90.00, 147.08 degrees
Sites, in units of the cell vectors:
1 Zn 0.000 0.000 0.000
2 Zn 0.000 0.000 0.500
3 Zn 0.470 0.530 0.750
4 Zn 0.530 0.470 0.250
5 Te 0.086 0.914 0.750
6 Te 0.366 0.634 0.556
7 Te 0.366 0.634 0.944
8 Te 0.634 0.366 0.056
9 Te 0.634 0.366 0.444
10 Te 0.914 0.086 0.250
11 Pb 0.234 0.766 0.250
12 Pb 0.766 0.234 0.750

Values from the calculation:
Raw total energy in eV/atom: -2.8518

# 11
Computed, not measured: a relaxed structure of ZrZnTe3Pb at the PBE level of DFT.

Cell lengths 7.983, 7.983, 10.694 Å; angles 90.00, 90.00, 150.79 degrees
Sites, in units of the cell vectors:
1 Zr 0.000 0.000 0.000
2 Zr 0.000 0.000 0.500
3 Zn 0.465 0.535 0.750
4 Zn 0.535 0.465 0.250
5 Te 0.086 0.914 0.750
6 Te 0.360 0.640 0.543
7 Te 0.360 0.640 0.957
8 Te 0.640 0.360 0.043
9 Te 0.640 0.360 0.457
10 Te 0.914 0.086 0.250
11 Pb 0.241 0.759 0.250
12 Pb 0.759 0.241 0.750

Values from the calculation:
Raw total energy in eV/atom: -4.2414

# 12
Computed, not measured: a relaxed structure of ZrTePb at the PBE level of DFT.

Cell lengths 5.028, 5.028, 5.028 Å; angles 60.00, 60.00, 60.00 degrees
Sites, in units of the cell vectors:
1 Zr 0.000 0.000 0.000
2 Te 0.750 0.750 0.750
3 Pb 0.500 0.500 0.500

Values from the calculation:
Raw total energy in eV/atom: -4.9434

# 13
Computed, not measured: a relaxed structure of ZrTePb2 at the PBE level of DFT.

Cell lengths 5.370, 5.370, 5.370 Å; angles 60.00, 60.00, 60.00 degrees
Sites, in units of the cell vectors:
1 Zr 0.000 0.000 0.000
2 Te 0.750 0.750 0.750
3 Pb 0.250 0.250 0.250
4 Pb 0.500 0.500 0.500

Values from the calculation:
Raw total energy in eV/atom: -4.6838

# 14
Computed, not measured: a relaxed structure of ThPb at the PBE level of DFT.

Cell lengths 3.552, 3.552, 5.678 Å; angles 90.00, 90.00, 120.00 degrees
Sites, in units of the cell vectors:
1 Th 0.000 0.000 0.000
2 Pb 0.333 0.667 0.500

Values from the calculation:
Raw total energy in eV/atom: -5.7635

# 15
Computed, not measured: a relaxed structure of ThPb at the PBE level of DFT.

Cell lengths 3.642, 3.642, 4.578 Å; angles 90.00, 90.00, 90.00 degrees
Sites, in units of the cell vectors:
1 Th 0.000 0.000 0.000
2 Pb 0.500 0.500 0.500

Values from the calculation:
Raw total energy in eV/atom: -5.8417

# 16
Computed, not measured: a relaxed structure of ThPb at the PBE level of DFT.

Cell lengths 5.087, 5.087, 5.087 Å; angles 60.00, 60.00, 60.00 degrees
Sites, in units of the cell vectors:
1 Th 0.000 0.000 0.000
2 Pb 0.250 0.250 0.250

Values from the calculation:
Raw total energy in eV/atom: -5.0062

# 17
Computed, not measured: a relaxed structure of ThPb at the PBE level of DFT.

Cell lengths 4.587, 4.587, 4.587 Å; angles 60.00, 60.00, 60.00 degrees
Sites, in units of the cell vectors:
1 Th 0.000 0.000 0.000
2 Pb 0.500 0.500 0.500

Values from the calculation:
Raw total energy in eV/atom: -5.8241

# 18
Computed, not measured: a relaxed structure of ThTlPb at the PBE level of DFT.

Cell lengths 5.240, 5.240, 5.240 Å; angles 60.00, 60.00, 60.00 degrees
Sites, in units of the cell vectors:
1 Th 0.000 0.000 0.000
2 Tl 0.750 0.750 0.750
3 Pb 0.500 0.500 0.500

Values from the calculation:
E above lowest polymorph in meV per atom: 0
Raw total energy in eV/atom: -4.2495

# 19
Computed, not measured: a relaxed structure of TmThPb at the PBE level of DFT.

Cell lengths 5.230, 5.230, 5.230 Å; angles 60.00, 60.00, 60.00 degrees
Sites, in units of the cell vectors:
1 Tm 0.000 0.000 0.000
2 Th 0.500 0.500 0.500
3 Pb 0.750 0.750 0.750

Values from the calculation:
Raw total energy in eV/atom: -5.1286

# 20
Computed, not measured: a relaxed structure of ThUPb at the PBE level of DFT.

Cell lengths 5.262, 5.262, 5.262 Å; angles 60.00, 60.00, 60.00 degrees
Sites, in units of the cell vectors:
1 Th 0.000 0.000 0.000
2 U 0.500 0.500 0.500
3 Pb 0.250 0.250 0.250

Values from the calculation:
E above lowest polymorph in meV per atom: 0
Raw total energy in eV/atom: -6.7683